# 1
Entry from Alexandria via LeMat-Bulk: a relaxed LaPrNdTl crystal (PBE-GGA).

```
LaPrNdTl
1.0
5.686 0.000 0.000
2.843 4.924 0.000
2.843 1.641 4.642
Pr Tl La Nd
1 1 1 1
direct
0.500 0.500 0.500 Pr
0.000 0.000 0.000 Tl
0.750 0.750 0.750 La
0.250 0.250 0.250 Nd
```

## Properties
polymorph energy (0 for the lowest one) = 47 kJ/mol of formula units
energy of formation = -0.29 eV/f.u.
total magnetic moment = 1.37 μB per formula unit
crystal system = cubic
SG = No. 216
calculated volume = 32.49 Å³ per atom
energy = -4.28 eV/atom


# 2
Entry from Alexandria via LeMat-Bulk: a relaxed La5PrNd2Tl crystal (PBE-GGA).

```
La5PrNd2Tl
1.0
8.703 0.000 0.000
0.000 8.592 0.000
0.000 0.000 8.592
La Nd Pr Tl
10 4 2 2
direct
0.216 0.280 0.220 La
0.784 0.720 0.780 La
0.784 0.220 0.720 La
0.216 0.720 0.780 La
0.784 0.780 0.280 La
0.784 0.280 0.220 La
0.216 0.220 0.720 La
0.500 0.500 0.500 La
0.216 0.780 0.280 La
0.500 0.000 0.000 La
0.500 0.624 0.124 Nd
0.500 0.376 0.876 Nd
0.500 0.124 0.376 Nd
0.500 0.876 0.624 Nd
0.000 0.500 0.500 Pr
0.000 0.000 0.000 Pr
0.000 0.000 0.500 Tl
0.000 0.500 0.000 Tl
```

## Properties
energy of formation = 1.28 eV/f.u.
total magnetic moment = 0.00 μB per formula unit
crystal system = tetragonal
SG = No. 127
calculated volume = 35.69 Å³ per atom
energy = -4.45 eV/atom


# 3
Entry from Alexandria via LeMat-Bulk: a relaxed La3Pr2Nd2Tl4 crystal (PBE-GGA).

```
La3Pr2Nd2Tl4
1.0
5.643 0.000 0.000
-2.821 4.887 0.000
0.000 0.000 13.147
La Pr Tl Nd
3 2 4 2
direct
0.000 0.000 0.309 La
0.000 0.000 0.000 La
0.000 0.000 0.691 La
0.667 0.333 0.380 Pr
0.333 0.667 0.620 Pr
0.667 0.333 0.129 Tl
0.333 0.667 0.376 Tl
0.667 0.333 0.624 Tl
0.333 0.667 0.871 Tl
0.333 0.667 0.133 Nd
0.667 0.333 0.867 Nd
```

## Properties
energy of formation = -2.62 eV/f.u.
total magnetic moment = 0.70 μB per formula unit
crystal system = trigonal
SG = No. 164
calculated volume = 32.95 Å³ per atom
energy = -4.18 eV/atom


# 4
Entry from Alexandria via LeMat-Bulk: a relaxed La6PrNd2Tl crystal (PBE-GGA).

```
La6PrNd2Tl
1.0
-7.161 6.221 -0.646
0.490 1.685 8.729
5.652 6.817 0.920
Nd La Pr Tl
4 12 2 2
direct
0.194 0.185 0.339 Nd
0.806 0.815 0.661 Nd
0.694 0.339 0.185 Nd
0.306 0.661 0.815 Nd
0.499 0.098 0.626 La
0.106 0.008 0.764 La
0.106 0.721 0.472 La
0.394 0.236 0.992 La
0.606 0.472 0.721 La
0.501 0.902 0.374 La
0.894 0.992 0.236 La
0.894 0.279 0.528 La
0.606 0.764 0.008 La
0.001 0.374 0.902 La
0.394 0.528 0.279 La
0.999 0.626 0.098 La
0.750 0.114 0.886 Pr
0.250 0.886 0.114 Pr
0.750 0.630 0.370 Tl
0.250 0.370 0.630 Tl
```

## Properties
energy of formation = 0.14 eV/f.u.
total magnetic moment = 0.00 μB per formula unit
crystal system = monoclinic
SG = No. 15
calculated volume = 36.16 Å³ per atom
energy = -4.61 eV/atom


# 5
Entry from Alexandria via LeMat-Bulk: a relaxed La5Pr2NdTl crystal (PBE-GGA).

```
La5Pr2NdTl
1.0
5.723 0.000 0.000
-2.861 10.150 0.000
0.000 0.000 11.181
Tl La Nd Pr
2 10 2 4
direct
0.408 0.817 0.507 Tl
0.592 0.183 0.007 Tl
0.710 0.420 0.208 La
0.290 0.580 0.708 La
0.500 0.000 0.757 La
0.500 0.000 0.257 La
0.010 0.021 0.008 La
0.379 0.759 0.008 La
0.621 0.241 0.508 La
0.289 0.577 0.310 La
0.711 0.423 0.810 La
0.990 0.979 0.508 La
0.193 0.386 0.009 Nd
0.807 0.614 0.509 Nd
0.117 0.234 0.305 Pr
0.118 0.236 0.711 Pr
0.883 0.766 0.805 Pr
0.882 0.764 0.211 Pr
```

## Properties
energy of formation = -0.13 eV/f.u.
total magnetic moment = 0.00 μB per formula unit
crystal system = orthorhombic
SG = No. 36
calculated volume = 36.08 Å³ per atom
energy = -4.61 eV/atom


# 6
Entry from Alexandria via LeMat-Bulk: a relaxed La2PrNd5Tl crystal (PBE-GGA).

```
La2PrNd5Tl
1.0
-5.651 -0.286 0.401
3.190 -9.813 -2.157
0.869 -2.081 10.755
Pr Nd La Tl
2 10 4 2
direct
0.202 0.405 0.009 Pr
0.798 0.595 0.509 Pr
0.987 0.974 0.508 Nd
0.290 0.579 0.312 Nd
0.500 0.000 0.258 Nd
0.500 0.000 0.758 Nd
0.615 0.229 0.508 Nd
0.710 0.419 0.206 Nd
0.013 0.026 0.008 Nd
0.290 0.581 0.706 Nd
0.385 0.771 0.008 Nd
0.710 0.421 0.812 Nd
0.118 0.236 0.307 La
0.882 0.764 0.807 La
0.882 0.763 0.209 La
0.118 0.237 0.709 La
0.592 0.184 0.008 Tl
0.408 0.816 0.508 Tl
```

## Properties
energy of formation = -0.06 eV/f.u.
total magnetic moment = 0.00 μB per formula unit
crystal system = orthorhombic
SG = No. 36
calculated volume = 35.16 Å³ per atom
energy = -4.54 eV/atom


Among the records above, which one has the highest total magnetic moment? LaPrNdTl